This record from Alexandria via LeMat-Bulk describes a relaxed structure of Nb2VI. The functional is GGA-PBE.

Output
The uncorrected formation energy is 0.82 eV per atom. The value obtained for the calculated volume is 20.078 Å³ per atom. Its symmetry is No. 122. The calculation puts the energy above the most stable polymorph in this dataset at 0.142 eV/atom. The value obtained for the density of states at the Fermi level is 8.7 states/eV/cell.

a b c (Å): 3.9914 3.9914 10.4699
angles (deg): 79.01 79.01 90.00
Sites, in units of the cell vectors:
Nb: 0.8750 0.8743 0.7500
V: 0.2500 0.7500 0.5000
V: 0.5000 0.5000 0.0000
Nb: 0.3750 0.3757 0.7500
I: 0.0000 0.0000 0.0000
Nb: 0.1257 0.6250 0.2500
I: 0.7500 0.2500 0.5000
Nb: 0.6243 0.1250 0.2500

***

This record from Alexandria via LeMat-Bulk describes a relaxed structure of MgCrN. The functional is GGA-PBE.

Output
The uncorrected formation energy is -0.04 eV per atom. The value obtained for the calculated volume is 11.736 Å³ per atom. Its symmetry is No. 187. The calculation puts the energy above the most stable polymorph in this dataset at 0.042 eV/atom. The value obtained for the density of states at the Fermi level is 2.8 states/eV/cell.

a b c (Å): 2.8801 2.8799 9.8032
angles (deg): 90.00 90.00 120.00
Sites, in units of the cell vectors:
Mg: 0.6112 0.2224 0.3689
Mg: 0.6112 0.2224 0.6311
N: 0.2778 0.5556 0.5000
Cr: 0.2777 0.5554 0.8844
Cr: 0.2777 0.5554 0.1156
N: 0.6110 0.2221 0.0000